Cd2HgGe PBE optimized geometry; space group = F-43m (216); DFT total energy = -5.955 eV per cell; calculated density = 9.14 g cm⁻³
1.0
-0.405 -4.842 1.335
-2.598 -1.267 4.128
-4.424 -2.373 -0.437
Cd Hg Ge
2 1 1
Cartesian
-5.570 -6.361 3.769 Cd
0.000 0.000 0.000 Cd
-1.857 -2.120 1.256 Hg
-3.713 -4.241 2.513 Ge